ZnAgPt2: relaxed, GGA-PBEsol.

```
ZnAgPt2
1.0
9.2886 0.0000 0.0000
0.0000 2.7875 0.0000
-1.2270 0.0000 4.5986
Zn Ag Pt
2 2 4
Cartesian
0.0000 0.0000 0.0000
4.6443 1.3938 0.0000
-0.6135 1.3938 2.2993
4.0308 0.0000 2.2993
1.9172 1.3938 1.1120
1.5001 0.0000 3.4866
6.5615 0.0000 1.1120
6.1444 1.3938 3.4866
```

Computed properties:
Uncorrected energy   -4.93 eV/atom

CdWSe: relaxed, GGA-PBEsol.

```
CdWSe
1.0
3.0571 0.0000 0.0000
0.0000 3.0571 0.0000
0.0000 0.0000 12.0384
Cd W Se
2 2 2
Cartesian
0.0000 0.0000 0.0000
1.5285 1.5285 6.0192
0.0000 0.0000 4.0480
1.5285 1.5285 10.0672
0.0000 0.0000 8.6634
1.5285 1.5285 2.6442
```

Computed properties:
ΔE_f (raw)   206 meV/atom

no.,D(E_F) (states/eV/cell)
1,3.4
2,3.3